# VGeOF2 (GGA+U, relaxed)
# - symmetry = P4/mmm, No. 123
# - N(E_F) (states/eV per cell) = 2.3
# - total energy (eV per atom) = -5.7321
# - energy relative to the lowest polymorph listed for this composition (meV per atom) = 0
# - mass density (g cm⁻³) = 4.44
data_VGeOF2
_chemical_formula_sum 'V1 Ge1 O1 F2'
_symmetry_space_group_name_H-M 'P 1'
_symmetry_Int_Tables_number 1
_symmetry_space_group_name_Hall 'P 1'
_cell_length_a 4.097
_cell_length_b 4.097
_cell_length_c 3.957
_cell_angle_alpha 90.00
_cell_angle_beta 90.00
_cell_angle_gamma 90.00
loop_
_atom_site_label
_atom_site_type_symbol
_atom_site_fract_x
_atom_site_fract_y
_atom_site_fract_z
V1 V 0.000 0.000 0.000
Ge1 Ge 0.500 0.500 0.500
O1 O 0.000 0.000 0.500
F1 F 0.000 0.500 0.000
F2 F 0.500 0.000 0.000